Mg8TlSn4 | GGA-PBE | optimized geometry

Energy of formation, meV per atom: -124
Total moment, μB/f.u.: 0.0

```
Mg8TlSn4
1.0
6.979 0.000 0.000
0.000 6.979 0.000
0.000 0.000 6.979
Mg Tl Sn
8 1 4
Cartesian
1.710 1.710 1.710
1.710 1.710 5.269
1.710 5.269 1.710
1.710 5.269 5.269
5.269 1.710 1.710
5.269 1.710 5.269
5.269 5.269 1.710
5.269 5.269 5.269
3.489 3.489 3.489
0.000 0.000 0.000
0.000 3.489 3.489
3.489 0.000 3.489
3.489 3.489 0.000
```

MgTlSn3 | GGA-PBE | optimized geometry

Polymorph energy (0 for the lowest one), meV per atom: 337
Energy of formation, meV per atom: 341
Total moment, μB/f.u.: 0.0

```
MgTlSn3
1.0
5.464 0.000 0.000
0.000 5.464 0.000
0.000 0.000 5.464
Mg Tl Sn
1 1 3
Cartesian
0.000 0.000 0.000
2.732 2.732 2.732
0.000 0.000 2.732
0.000 2.732 0.000
2.732 0.000 0.000
```

MgTlSn2 | GGA-PBE | optimized geometry

Polymorph energy (0 for the lowest one), meV per atom: 106
Energy of formation, meV per atom: 53
Total moment, μB/f.u.: 0.0

```
MgTlSn2
1.0
0.000 3.781 3.781
3.781 0.000 3.781
3.781 3.781 0.000
Mg Tl Sn
1 1 2
Cartesian
0.000 0.000 0.000
3.781 3.781 3.781
1.890 1.890 1.890
5.671 5.671 5.671
```

MgTl2Sn2 | GGA-PBE | optimized geometry

Polymorph energy (0 for the lowest one), meV per atom: 0
Energy of formation, meV per atom: -44
Total moment, μB/f.u.: 0.0

```
MgTl2Sn2
1.0
-1.716 1.716 11.709
1.716 -1.716 11.709
1.716 1.716 -11.709
Mg Tl Sn
1 2 2
Cartesian
0.000 0.000 0.000
0.000 0.000 4.515
0.000 0.000 18.903
0.000 0.000 9.658
0.000 0.000 13.760
```

MgTlSn2 | GGA-PBE | optimized geometry

Polymorph energy (0 for the lowest one), meV per atom: 152
Energy of formation, meV per atom: 100
Total moment, μB/f.u.: 0.0

```
MgTlSn2
1.0
-4.257 4.257 3.092
4.257 -4.257 3.092
4.257 4.257 -3.092
Mg Tl Sn
2 2 4
Cartesian
0.000 0.000 0.000
0.000 4.257 1.546
4.257 0.000 1.546
0.000 0.000 3.092
6.385 1.976 -0.773
1.976 2.128 0.773
-2.128 2.281 2.319
2.281 2.128 3.864
```

MgTlSn2 | GGA-PBE | optimized geometry

Polymorph energy (0 for the lowest one), meV per atom: 28
Energy of formation, meV per atom: -25
Total moment, μB/f.u.: 0.0

```
MgTlSn2
1.0
1.711 0.988 10.711
-1.711 0.988 10.711
0.000 -1.975 10.711
Mg Tl Sn
1 1 2
Cartesian
0.000 0.000 0.000
0.000 0.000 16.066
0.000 0.000 8.275
0.000 0.000 23.858
```

Mg6TlSn | GGA-PBE | optimized geometry

Energy of formation, meV per atom: -81
Total moment, μB/f.u.: 0.0

```
Mg6TlSn
1.0
4.526 0.000 0.000
0.000 4.526 0.000
0.000 0.000 8.967
Mg Tl Sn
6 1 1
Cartesian
0.000 0.000 0.000
0.000 0.000 4.484
0.000 2.263 2.222
0.000 2.263 6.745
2.263 0.000 2.222
2.263 0.000 6.745
2.263 2.263 4.484
2.263 2.263 0.000
```

MgTlSn2 | GGA-PBE | optimized geometry

Polymorph energy (0 for the lowest one), meV per atom: 46
Energy of formation, meV per atom: -7
Total moment, μB/f.u.: 0.0

```
MgTlSn2
1.0
4.664 0.000 0.000
0.000 4.664 0.000
0.000 0.000 4.905
Mg Tl Sn
1 1 2
Cartesian
0.000 0.000 0.000
2.332 2.332 0.000
0.000 2.332 2.453
2.332 0.000 2.453
```